(1)
Computed, not measured: Nb after structural relaxation at the PBE level of DFT.

Cell lengths 3.354, 4.754, 9.235 Å; angles 90.00, 90.00, 90.00 degrees
Sites, in units of the cell vectors:
1 Nb 0.000 0.000 0.138
2 Nb 0.000 0.000 0.862
3 Nb 0.000 0.500 0.362
4 Nb 0.000 0.500 0.638
5 Nb 0.500 0.000 0.362
6 Nb 0.500 0.000 0.638
7 Nb 0.500 0.500 0.138
8 Nb 0.500 0.500 0.862

Symmetry: Fmmm, No. 69
Total magnetic moment: 0.00 μB/f.u.

=====

(2)
Computed, not measured: LiDyPbSe3 after structural relaxation at the PBE level of DFT.

Cell lengths 9.079, 9.079, 8.684 Å; angles 103.60, 103.60, 26.10 degrees
Sites, in units of the cell vectors:
1 Li 0.003 0.003 0.198
2 Li 0.997 0.997 0.802
3 Dy 0.335 0.335 0.912
4 Dy 0.665 0.665 0.088
5 Pb 0.367 0.367 0.436
6 Pb 0.633 0.633 0.564
7 Se 0.000 0.000 0.500
8 Se 0.167 0.167 0.857
9 Se 0.175 0.175 0.319
10 Se 0.500 0.500 0.000
11 Se 0.825 0.825 0.681
12 Se 0.833 0.833 0.143

Symmetry: C2/m, No. 12
Total magnetic moment: 0.00 μB/f.u.

=====

(3)
Computed, not measured: LaTbPO after structural relaxation at the PBE level of DFT.

Cell lengths 4.249, 4.249, 9.245 Å; angles 90.00, 90.00, 90.00 degrees
Sites, in units of the cell vectors:
1 La 0.250 0.750 0.000
2 La 0.750 0.250 0.000
3 Tb 0.250 0.250 0.400
4 Tb 0.750 0.750 0.600
5 P 0.250 0.250 0.784
6 P 0.750 0.750 0.216
7 O 0.250 0.750 0.500
8 O 0.750 0.250 0.500

Symmetry: P4/nmm, No. 129
Total magnetic moment: 0.01 μB/f.u.

=====

(4)
Computed, not measured: ZrGaPt after structural relaxation at the PBE level of DFT.

Cell lengths 6.337, 6.337, 6.337 Å; angles 90.00, 90.00, 90.00 degrees
Sites, in units of the cell vectors:
1 Zr 0.000 0.000 0.000
2 Zr 0.000 0.500 0.500
3 Zr 0.500 0.000 0.500
4 Zr 0.500 0.500 0.000
5 Ga 0.250 0.250 0.750
6 Ga 0.250 0.750 0.250
7 Ga 0.750 0.250 0.250
8 Ga 0.750 0.750 0.750
9 Pt 0.250 0.250 0.250
10 Pt 0.250 0.750 0.750
11 Pt 0.750 0.250 0.750
12 Pt 0.750 0.750 0.250

Symmetry: F-43m, No. 216
Total magnetic moment: 0.00 μB/f.u.

=====

(5)
Computed, not measured: AcZr after structural relaxation at the PBE level of DFT.

Cell lengths 6.871, 6.871, 6.871 Å; angles 90.00, 90.00, 90.00 degrees
Sites, in units of the cell vectors:
1 Ac 0.000 0.000 0.000
2 Ac 0.000 0.500 0.500
3 Ac 0.500 0.000 0.500
4 Ac 0.500 0.500 0.000
5 Zr 0.250 0.250 0.750
6 Zr 0.250 0.750 0.250
7 Zr 0.750 0.250 0.250
8 Zr 0.750 0.750 0.750

Symmetry: F-43m, No. 216
Total magnetic moment: 0.08 μB/f.u.

=====

(6)
Computed, not measured: CdSiAg2Te2Se2 after structural relaxation at the PBE level of DFT.

Cell lengths 13.787, 6.137, 6.119 Å; angles 90.00, 115.57, 90.00 degrees
Sites, in units of the cell vectors:
1 Cd 0.000 0.000 0.000
2 Cd 0.500 0.500 0.000
3 Si 0.000 0.523 0.500
4 Si 0.500 0.023 0.500
5 Ag 0.249 0.497 0.281
6 Ag 0.251 0.997 0.719
7 Ag 0.749 0.997 0.281
8 Ag 0.751 0.497 0.719
9 Te 0.126 0.281 0.847
10 Te 0.374 0.781 0.153
11 Te 0.626 0.781 0.847
12 Te 0.874 0.281 0.153
13 Se 0.112 0.731 0.386
14 Se 0.388 0.231 0.614
15 Se 0.612 0.231 0.386
16 Se 0.888 0.731 0.614

Symmetry: C2, No. 5

=====

Number 1: final energy -77.2 eV per cell. Number 2: final energy -56.7 eV per cell. Number 3: final energy -54.5 eV per cell. Number 4: final energy -74.4 eV per cell. Number 5: final energy -34.1 eV per cell. Number 6: final energy -54.7 eV per cell.